Entry 1:
Pm4I5N: optimized geometry, PBE.

Cell lengths 9.833, 9.833, 8.758 Å; angles 102.34, 102.34, 23.57 degrees
Element x y z (fractional)
Pm (0.999, 0.999, 0.191)
I (0.163, 0.163, 0.342)
I (0.832, 0.832, 0.182)
Pm (0.628, 0.628, 0.063)
Pm (0.001, 0.001, 0.809)
N (0.500, 0.500, 0.000)
I (0.837, 0.837, 0.658)
Pm (0.372, 0.372, 0.937)
I (0.500, 0.500, 0.500)
I (0.168, 0.168, 0.818)

Properties
The total magnetic moment is 0.0 μB/cell. For the final energy, the calculation gives -4.818 eV/atom.

Entry 2:
PmSmI2N2: optimized geometry, PBE.

Cell lengths 3.971, 3.971, 9.636 Å; angles 90.00, 90.00, 90.00 degrees
Element x y z (fractional)
N (0.500, 0.000, 0.001)
N (0.000, 0.500, 0.001)
Pm (0.000, 0.000, 0.866)
I (0.000, 0.000, 0.333)
I (0.500, 0.500, 0.667)
Sm (0.500, 0.500, 0.133)

Properties
The total magnetic moment is 0.0 μB/cell. For the final energy, the calculation gives -5.853 eV/atom.

Entry 3:
PmYI2N2: optimized geometry, PBE.

Cell lengths 3.916, 3.916, 9.766 Å; angles 90.00, 90.00, 90.00 degrees
Element x y z (fractional)
Pm (0.000, 0.000, 0.866)
N (0.000, 0.500, 0.004)
I (0.000, 0.000, 0.328)
I (0.500, 0.500, 0.669)
N (0.500, 0.000, 0.004)
Y (0.500, 0.500, 0.130)

Properties
The total magnetic moment is 0.0 μB/cell. For the final energy, the calculation gives -6.149 eV/atom.

Entry 4:
Pr4I5N: optimized geometry, PBE.

Cell lengths 9.900, 9.900, 8.888 Å; angles 102.49, 102.49, 23.75 degrees
Element x y z (fractional)
I (0.164, 0.164, 0.344)
Pr (0.999, 0.999, 0.193)
Pr (0.631, 0.631, 0.064)
I (0.830, 0.830, 0.182)
I (0.170, 0.170, 0.818)
Pr (0.001, 0.001, 0.807)
N (0.500, 0.500, 0.000)
Pr (0.369, 0.369, 0.936)
I (0.836, 0.836, 0.656)
I (0.500, 0.500, 0.500)

Properties
The total magnetic moment is 0.0 μB/cell. For the final energy, the calculation gives -4.831 eV/atom.

Entry 5:
Pr2Sm2I5N: optimized geometry, PBE.

Cell lengths 9.825, 9.825, 8.846 Å; angles 102.54, 102.54, 23.67 degrees
Element x y z (fractional)
I (0.166, 0.166, 0.339)
I (0.171, 0.171, 0.827)
Pr (0.999, 0.999, 0.193)
Pr (0.001, 0.001, 0.807)
Sm (0.371, 0.371, 0.936)
N (0.500, 0.500, 0.000)
I (0.500, 0.500, 0.500)
I (0.834, 0.834, 0.661)
I (0.829, 0.829, 0.173)
Sm (0.629, 0.629, 0.064)

Properties
The total magnetic moment is 0.0 μB/cell. For the final energy, the calculation gives -4.819 eV/atom.

Entry 6:
Pr2Y2I5N: optimized geometry, PBE.

Cell lengths 9.939, 9.939, 8.794 Å; angles 102.31, 102.31, 23.27 degrees
Element x y z (fractional)
Y (0.623, 0.623, 0.060)
I (0.831, 0.831, 0.167)
N (0.500, 0.500, 0.000)
Y (0.377, 0.377, 0.940)
I (0.166, 0.166, 0.329)
Pr (0.001, 0.001, 0.806)
I (0.169, 0.169, 0.833)
Pr (0.999, 0.999, 0.194)
I (0.500, 0.500, 0.500)
I (0.834, 0.834, 0.671)

Properties
The total magnetic moment is 0.0 μB/cell. For the final energy, the calculation gives -5.160 eV/atom.